VASP calculation (PBE) on crystalline Pr3Ga3Pt8 at its relaxed geometry.

a = 8.375 Å, b = 8.375 Å, c = 9.079 Å
α = 121.15°, β = 121.15°, γ = 30.60°
Fractional positions:
Pr: 0.000 0.000 0.000
Pr: 0.296 0.296 0.331
Pr: 0.704 0.704 0.669
Ga: 0.000 0.000 0.500
Ga: 0.324 0.324 0.993
Ga: 0.676 0.676 0.007
Pt: 0.115 0.115 0.390
Pt: 0.131 0.131 0.838
Pt: 0.351 0.351 0.747
Pt: 0.494 0.494 0.318
Pt: 0.506 0.506 0.682
Pt: 0.649 0.649 0.253
Pt: 0.869 0.869 0.162
Pt: 0.885 0.885 0.610

Output
raw total energy = -85.0 eV for the cell shown
DOS at the Fermi energy = 0.36 states/eV per atom
formation energy from the elements = -21.897 kcal/mol of atoms
magnetic moment = 0.00 μB per formula unit

---

VASP calculation (PBE) on crystalline Pr6GaPt at its relaxed geometry.

a = 7.010 Å, b = 7.017 Å, c = 7.814 Å
α = 90.11°, β = 116.57°, γ = 119.94°
Fractional positions:
Pr: 0.013 0.071 0.239
Pr: 0.298 0.726 0.239
Pr: 0.331 0.558 0.761
Pr: 0.669 0.442 0.239
Pr: 0.702 0.274 0.761
Pr: 0.987 0.929 0.761
Ga: 0.500 0.000 0.000
Pt: 0.500 0.500 0.500

Output
raw total energy = -39.5 eV for the cell shown
DOS at the Fermi energy = 1.54 states/eV per atom
formation energy from the elements = -5.051 kcal/mol of atoms
magnetic moment = 0.00 μB per formula unit

---

VASP calculation (PBE) on crystalline Pr6Ga2Pt at its relaxed geometry.

a = 6.245 Å, b = 8.614 Å, c = 11.674 Å
α = 90.00°, β = 119.45°, γ = 90.00°
Fractional positions:
Pr: 0.066 0.171 0.441
Pr: 0.066 0.329 0.941
Pr: 0.332 0.676 0.439
Pr: 0.332 0.824 0.939
Pr: 0.383 0.034 0.267
Pr: 0.383 0.466 0.767
Pr: 0.617 0.534 0.233
Pr: 0.617 0.966 0.733
Pr: 0.668 0.176 0.061
Pr: 0.668 0.324 0.561
Pr: 0.934 0.671 0.059
Pr: 0.934 0.829 0.559
Ga: 0.173 0.125 0.750
Ga: 0.173 0.375 0.250
Ga: 0.827 0.625 0.750
Ga: 0.827 0.875 0.250
Pt: 0.000 0.000 0.000
Pt: 0.000 0.500 0.500

Output
raw total energy = -89.2 eV for the cell shown
DOS at the Fermi energy = 1.24 states/eV per atom
formation energy from the elements = -9.755 kcal/mol of atoms
magnetic moment = 0.00 μB per formula unit

---

VASP calculation (PBE) on crystalline PrGa2Pt10 at its relaxed geometry.

a = 9.035 Å, b = 6.957 Å, c = 6.915 Å
α = 81.27°, β = 49.57°, γ = 49.16°
Fractional positions:
Pr: 0.000 0.000 0.000
Ga: 0.000 0.000 0.500
Ga: 0.500 0.500 0.000
Pt: 0.000 0.500 0.000
Pt: 0.009 0.658 0.342
Pt: 0.280 0.506 0.494
Pt: 0.342 0.991 0.009
Pt: 0.494 0.720 0.280
Pt: 0.500 0.000 0.500
Pt: 0.506 0.280 0.720
Pt: 0.658 0.009 0.991
Pt: 0.720 0.494 0.506
Pt: 0.991 0.342 0.658

Output
raw total energy = -77.3 eV for the cell shown
DOS at the Fermi energy = 0.89 states/eV per atom
formation energy from the elements = -10.789 kcal/mol of atoms
magnetic moment = 0.00 μB per formula unit

---

VASP calculation (PBE) on crystalline PrGa6Pt4 at its relaxed geometry.

a = 7.413 Å, b = 7.413 Å, c = 4.079 Å
α = 90.00°, β = 90.00°, γ = 120.00°
Fractional positions:
Pr: 0.000 0.000 0.000
Ga: 0.197 0.394 0.500
Ga: 0.197 0.803 0.500
Ga: 0.534 0.067 0.000
Ga: 0.534 0.466 0.000
Ga: 0.606 0.803 0.500
Ga: 0.933 0.466 0.000
Pt: 0.333 0.667 0.000
Pt: 0.404 0.202 0.500
Pt: 0.798 0.202 0.500
Pt: 0.798 0.596 0.500

Output
raw total energy = -55.6 eV for the cell shown
DOS at the Fermi energy = 0.47 states/eV per atom
formation energy from the elements = -17.861 kcal/mol of atoms
magnetic moment = 0.00 μB per formula unit

---

VASP calculation (PBE) on crystalline Pr2Ga5Pt5 at its relaxed geometry.

a = 4.254 Å, b = 5.458 Å, c = 9.694 Å
α = 90.00°, β = 90.00°, γ = 90.00°
Fractional positions:
Pr: 0.000 0.000 0.000
Pr: 0.000 0.500 0.500
Ga: 0.500 0.000 0.500
Ga: 0.500 0.242 0.230
Ga: 0.500 0.242 0.770
Ga: 0.500 0.758 0.230
Ga: 0.500 0.758 0.770
Pt: 0.000 0.000 0.340
Pt: 0.000 0.000 0.660
Pt: 0.000 0.500 0.190
Pt: 0.000 0.500 0.810
Pt: 0.500 0.500 0.000

Output
raw total energy = -64.9 eV for the cell shown
DOS at the Fermi energy = 0.43 states/eV per atom
formation energy from the elements = -19.177 kcal/mol of atoms
magnetic moment = 0.00 μB per formula unit

---

VASP calculation (PBE) on crystalline Pr2PuGa3Pt4 at its relaxed geometry.

a = 4.371 Å, b = 4.371 Å, c = 11.049 Å
α = 90.00°, β = 90.00°, γ = 90.00°
Fractional positions:
Pr: 0.000 0.500 0.228
Pr: 0.500 0.000 0.772
Pu: 0.000 0.000 0.500
Ga: 0.000 0.500 0.881
Ga: 0.500 0.000 0.119
Ga: 0.500 0.500 0.500
Pt: 0.000 0.000 0.000
Pt: 0.000 0.500 0.655
Pt: 0.500 0.000 0.345
Pt: 0.500 0.500 0.000

Output
raw total energy = -66.0 eV for the cell shown
DOS at the Fermi energy = 1.10 states/eV per atom
formation energy from the elements = -20.356 kcal/mol of atoms
magnetic moment = 5.14 μB per formula unit

---

VASP calculation (PBE) on crystalline PrPuGaPt at its relaxed geometry.

a = 5.128 Å, b = 5.128 Å, c = 5.128 Å
α = 60.00°, β = 60.00°, γ = 60.00°
Fractional positions:
Pr: 0.000 0.000 0.000
Pu: 0.500 0.500 0.500
Ga: 0.250 0.250 0.250
Pt: 0.750 0.750 0.750

Output
raw total energy = -30.4 eV for the cell shown
DOS at the Fermi energy = 2.56 states/eV per atom
formation energy from the elements = -12.627 kcal/mol of atoms
magnetic moment = 5.43 μB per formula unit

---

VASP calculation (PBE) on crystalline PrPu2Ga2Pt7 at its relaxed geometry.

a = 4.119 Å, b = 4.119 Å, c = 14.230 Å
α = 96.15°, β = 96.15°, γ = 89.30°
Fractional positions:
Pr: 0.000 0.000 0.000
Pu: 0.115 0.115 0.364
Pu: 0.885 0.885 0.636
Ga: 0.407 0.407 0.741
Ga: 0.593 0.593 0.259
Pt: 0.057 0.557 0.159
Pt: 0.363 0.363 0.568
Pt: 0.443 0.943 0.841
Pt: 0.500 0.500 0.000
Pt: 0.557 0.057 0.159
Pt: 0.637 0.637 0.432
Pt: 0.943 0.443 0.841

Output
raw total energy = -90.7 eV for the cell shown
DOS at the Fermi energy = 2.50 states/eV per atom
formation energy from the elements = -17.136 kcal/mol of atoms
magnetic moment = 10.57 μB per formula unit

---

VASP calculation (PBE) on crystalline PrGa2PtRh at its relaxed geometry.

a = 6.077 Å, b = 6.077 Å, c = 6.077 Å
α = 139.17°, β = 139.17°, γ = 59.12°
Fractional positions:
Pr: 0.000 0.000 0.000
Ga: 0.378 0.378 0.000
Ga: 0.622 0.622 0.000
Pt: 0.250 0.750 0.500
Rh: 0.750 0.250 0.500

Output
raw total energy = -28.6 eV for the cell shown
DOS at the Fermi energy = 0.50 states/eV per atom
formation energy from the elements = -20.016 kcal/mol of atoms
magnetic moment = 0.00 μB per formula unit

---

VASP calculation (PBE) on crystalline Pr2Ga4PtRh3 at its relaxed geometry.

a = 4.299 Å, b = 4.299 Å, c = 10.292 Å
α = 90.00°, β = 90.00°, γ = 90.00°
Fractional positions:
Pr: 0.000 0.500 0.245
Pr: 0.500 0.000 0.755
Ga: 0.000 0.000 0.500
Ga: 0.000 0.500 0.869
Ga: 0.500 0.000 0.131
Ga: 0.500 0.500 0.500
Pt: 0.500 0.500 0.000
Rh: 0.000 0.000 0.000
Rh: 0.000 0.500 0.627
Rh: 0.500 0.000 0.373

Output
raw total energy = -58.1 eV for the cell shown
DOS at the Fermi energy = 0.41 states/eV per atom
formation energy from the elements = -19.273 kcal/mol of atoms
magnetic moment = 0.00 μB per formula unit

---

VASP calculation (PBE) on crystalline Pr2Ga3Pt4Rh at its relaxed geometry.

a = 4.126 Å, b = 4.126 Å, c = 11.356 Å
α = 90.00°, β = 90.00°, γ = 90.00°
Fractional positions:
Pr: 0.000 0.500 0.244
Pr: 0.500 0.000 0.756
Ga: 0.000 0.000 0.000
Ga: 0.000 0.500 0.631
Ga: 0.500 0.000 0.369
Pt: 0.000 0.000 0.500
Pt: 0.000 0.500 0.849
Pt: 0.500 0.000 0.151
Pt: 0.500 0.500 0.500
Rh: 0.500 0.500 0.000

Output
raw total energy = -58.8 eV for the cell shown
DOS at the Fermi energy = 0.67 states/eV per atom
formation energy from the elements = -19.972 kcal/mol of atoms
magnetic moment = 0.00 μB per formula unit

---

VASP calculation (PBE) on crystalline Pr2Ga4Pt3Rh at its relaxed geometry.

a = 4.309 Å, b = 4.309 Å, c = 10.423 Å
α = 90.00°, β = 90.00°, γ = 90.00°
Fractional positions:
Pr: 0.000 0.500 0.250
Pr: 0.500 0.000 0.750
Ga: 0.000 0.000 0.000
Ga: 0.000 0.500 0.627
Ga: 0.500 0.000 0.373
Ga: 0.500 0.500 0.000
Pt: 0.000 0.500 0.867
Pt: 0.500 0.000 0.133
Pt: 0.500 0.500 0.500
Rh: 0.000 0.000 0.500

Output
raw total energy = -56.6 eV for the cell shown
DOS at the Fermi energy = 0.75 states/eV per atom
formation energy from the elements = -21.844 kcal/mol of atoms
magnetic moment = 0.00 μB per formula unit

---

VASP calculation (PBE) on crystalline PrGa2PtRh2 at its relaxed geometry.

a = 4.676 Å, b = 4.676 Å, c = 5.622 Å
α = 90.00°, β = 90.00°, γ = 90.00°
Fractional positions:
Pr: 0.000 0.000 0.000
Ga: 0.000 0.500 0.500
Ga: 0.500 0.000 0.500
Pt: 0.000 0.000 0.500
Rh: 0.500 0.500 0.244
Rh: 0.500 0.500 0.756

Output
raw total energy = -33.5 eV for the cell shown
DOS at the Fermi energy = 0.90 states/eV per atom
formation energy from the elements = -7.459 kcal/mol of atoms
magnetic moment = 0.00 μB per formula unit

---

VASP calculation (PBE) on crystalline PrGa4Pt2Rh at its relaxed geometry.

a = 9.252 Å, b = 9.252 Å, c = 9.252 Å
α = 26.85°, β = 26.85°, γ = 26.85°
Fractional positions:
Pr: 0.000 0.000 0.000
Ga: 0.133 0.133 0.133
Ga: 0.401 0.401 0.401
Ga: 0.599 0.599 0.599
Ga: 0.867 0.867 0.867
Pt: 0.235 0.235 0.235
Pt: 0.765 0.765 0.765
Rh: 0.500 0.500 0.500

Output
raw total energy = -42.2 eV for the cell shown
DOS at the Fermi energy = 0.54 states/eV per atom
formation energy from the elements = -16.972 kcal/mol of atoms
magnetic moment = 0.00 μB per formula unit

---

VASP calculation (PBE) on crystalline Pr2Ga3RuPt4 at its relaxed geometry.

a = 4.159 Å, b = 4.159 Å, c = 11.139 Å
α = 90.00°, β = 90.00°, γ = 90.00°
Fractional positions:
Pr: 0.000 0.500 0.247
Pr: 0.500 0.000 0.753
Ga: 0.000 0.000 0.000
Ga: 0.000 0.500 0.632
Ga: 0.500 0.000 0.368
Ru: 0.500 0.500 0.000
Pt: 0.000 0.000 0.500
Pt: 0.000 0.500 0.856
Pt: 0.500 0.000 0.144
Pt: 0.500 0.500 0.500

Output
raw total energy = -59.9 eV for the cell shown
DOS at the Fermi energy = 0.76 states/eV per atom
formation energy from the elements = -18.114 kcal/mol of atoms
magnetic moment = 0.01 μB per formula unit

---

VASP calculation (PBE) on crystalline Pr2GaSb3Pt4 at its relaxed geometry.

a = 4.518 Å, b = 4.518 Å, c = 10.816 Å
α = 90.00°, β = 90.00°, γ = 90.00°
Fractional positions:
Pr: 0.000 0.500 0.243
Pr: 0.500 0.000 0.757
Ga: 0.000 0.000 0.500
Sb: 0.000 0.500 0.865
Sb: 0.500 0.000 0.135
Sb: 0.500 0.500 0.500
Pt: 0.000 0.000 0.000
Pt: 0.000 0.500 0.624
Pt: 0.500 0.000 0.376
Pt: 0.500 0.500 0.000

Output
raw total energy = -58.0 eV for the cell shown
E_form (uncorrected) = -885 meV/atom
DOS at the Fermi energy = 0.31 states/eV per atom
magnetic moment = 0.00 μB per formula unit

---

VASP calculation (PBE) on crystalline Pr2ScGa4Pt3 at its relaxed geometry.

a = 4.251 Å, b = 4.251 Å, c = 11.274 Å
α = 90.00°, β = 90.00°, γ = 90.00°
Fractional positions:
Pr: 0.000 0.500 0.237
Pr: 0.500 0.000 0.763
Sc: 0.000 0.000 0.500
Ga: 0.000 0.000 0.000
Ga: 0.000 0.500 0.653
Ga: 0.500 0.000 0.347
Ga: 0.500 0.500 0.000
Pt: 0.000 0.500 0.874
Pt: 0.500 0.000 0.126
Pt: 0.500 0.500 0.500

Output
raw total energy = -55.2 eV for the cell shown
DOS at the Fermi energy = 0.71 states/eV per atom
formation energy from the elements = -20.912 kcal/mol of atoms
magnetic moment = 0.00 μB per formula unit

---

VASP calculation (PBE) on crystalline PrScGaPt2 at its relaxed geometry.

a = 6.800 Å, b = 6.800 Å, c = 6.800 Å
α = 144.55°, β = 144.55°, γ = 51.00°
Fractional positions:
Pr: 0.000 0.000 0.000
Sc: 0.750 0.250 0.500
Ga: 0.250 0.750 0.500
Pt: 0.389 0.389 0.000
Pt: 0.611 0.611 0.000

Output
raw total energy = -31.5 eV for the cell shown
DOS at the Fermi energy = 0.90 states/eV per atom
formation energy from the elements = -24.229 kcal/mol of atoms
magnetic moment = 0.00 μB per formula unit

---

VASP calculation (PBE) on crystalline Pr2ScGaPt6 at its relaxed geometry.

a = 6.817 Å, b = 6.817 Å, c = 6.817 Å
α = 60.00°, β = 60.00°, γ = 60.00°
Fractional positions:
Pr: 0.250 0.250 0.250
Pr: 0.750 0.750 0.750
Sc: 0.000 0.000 0.000
Ga: 0.500 0.500 0.500
Pt: 0.255 0.255 0.745
Pt: 0.255 0.745 0.255
Pt: 0.255 0.745 0.745
Pt: 0.745 0.255 0.255
Pt: 0.745 0.255 0.745
Pt: 0.745 0.745 0.255

Output
raw total energy = -59.1 eV for the cell shown
DOS at the Fermi energy = 0.63 states/eV per atom
formation energy from the elements = -9.104 kcal/mol of atoms
magnetic moment = 0.00 μB per formula unit

---

VASP calculation (PBE) on crystalline PrScGa2Pt5 at its relaxed geometry.

a = 4.187 Å, b = 4.187 Å, c = 9.408 Å
α = 90.00°, β = 90.00°, γ = 90.00°
Fractional positions:
Pr: 0.000 0.000 0.000
Sc: 0.000 0.000 0.500
Ga: 0.500 0.500 0.373
Ga: 0.500 0.500 0.627
Pt: 0.000 0.500 0.234
Pt: 0.000 0.500 0.766
Pt: 0.500 0.000 0.234
Pt: 0.500 0.000 0.766
Pt: 0.500 0.500 0.000

Output
raw total energy = -54.4 eV for the cell shown
DOS at the Fermi energy = 0.61 states/eV per atom
formation energy from the elements = -18.048 kcal/mol of atoms
magnetic moment = 0.00 μB per formula unit

---

VASP calculation (PBE) on crystalline Pr2ScGa3Pt4 at its relaxed geometry.

a = 4.208 Å, b = 4.208 Å, c = 11.348 Å
α = 90.00°, β = 90.00°, γ = 90.00°
Fractional positions:
Pr: 0.000 0.500 0.237
Pr: 0.500 0.000 0.763
Sc: 0.000 0.000 0.500
Ga: 0.000 0.500 0.872
Ga: 0.500 0.000 0.128
Ga: 0.500 0.500 0.500
Pt: 0.000 0.000 0.000
Pt: 0.000 0.500 0.648
Pt: 0.500 0.000 0.352
Pt: 0.500 0.500 0.000

Output
raw total energy = -59.2 eV for the cell shown
DOS at the Fermi energy = 0.57 states/eV per atom
formation energy from the elements = -23.242 kcal/mol of atoms
magnetic moment = 0.00 μB per formula unit

---

VASP calculation (PBE) on crystalline PrScGa5Pt2 at its relaxed geometry.

a = 4.615 Å, b = 4.615 Å, c = 9.533 Å
α = 90.00°, β = 90.00°, γ = 90.00°
Fractional positions:
Pr: 0.000 0.000 0.000
Sc: 0.000 0.000 0.500
Ga: 0.000 0.500 0.328
Ga: 0.000 0.500 0.672
Ga: 0.500 0.000 0.328
Ga: 0.500 0.000 0.672
Ga: 0.500 0.500 0.000
Pt: 0.500 0.500 0.241
Pt: 0.500 0.500 0.759

Output
raw total energy = -41.8 eV for the cell shown
DOS at the Fermi energy = 0.49 states/eV per atom
formation energy from the elements = -8.893 kcal/mol of atoms
magnetic moment = 0.00 μB per formula unit